Entry 1:
Here is Zr4Sn after structural relaxation from the Alexandria database. Energies are from PBE.

Results
As for the symmetry: No. 221. Its crystal system is cubic. The value obtained for the distance to the lowest polymorph of the same formula is 1.089 eV per atom. The formation enthalpy at 0 K comes out at 84.1 kJ per mole of atoms.

Unit cell a=5.2784 b=5.2784 c=5.2784 alpha=90.00 beta=90.00 gamma=90.00
With the nearest neighbours (Å) after each atom.
Positions (direct):
Sn1 0.5000 0.5000 0.5000  6 Zr 2.64
Zr1 0.0000 0.0000 0.0000  12 Zr 3.73
Zr2 0.5000 0.0000 0.5000  2 Sn 2.64
Zr3 0.0000 0.5000 0.5000  2 Sn 2.64
Zr4 0.5000 0.5000 0.0000  2 Sn 2.64

=====

Entry 2:
Here is GeTeWI2 after structural relaxation from the Alexandria database. Energies are from PBE.

Results
As for the symmetry: No. 123. Its crystal system is tetragonal. The value obtained for the distance to the lowest polymorph of the same formula is 0.522 eV per atom.

Unit cell a=5.5392 b=5.5392 c=5.6361 alpha=90.00 beta=90.00 gamma=90.00
With the nearest neighbours (Å) after each atom.
Positions (direct):
I1 0.0000 0.5000 0.0000  2 Ge 2.77
I2 0.5000 0.0000 0.0000  2 Ge 2.77
Ge1 0.0000 0.0000 0.0000  4 I 2.77, 2 Te 2.82
Te1 0.0000 0.0000 0.5000  2 Ge 2.82
W1 0.5000 0.5000 0.5000  4 Te 3.92, 8 I 3.95

=====

Entry 3:
Here is HoRe2O8 after structural relaxation from the Alexandria database. Energies are from PBE.

Results
As for the symmetry: No. 12. Its crystal system is monoclinic. The value obtained for the distance to the lowest polymorph of the same formula is 0.145 eV per atom.

Unit cell a=5.7267 b=6.5056 c=6.5056 alpha=61.26 beta=79.69 gamma=79.69
With the nearest neighbours (Å) after each atom.
Positions (direct):
Ho1 0.0000 0.0000 0.0000  6 O 2.25-2.31
Re1 0.3337 0.1897 0.1897  4 O 1.73-1.80
Re2 0.6663 0.8103 0.8103  4 O 1.73-1.80
O1 0.8100 0.0765 0.6825  1 Re 1.80
O2 0.1900 0.3175 0.9235  1 Re 1.80
O3 0.6514 0.1371 0.1371  1 Re 1.79
O4 0.3486 0.8629 0.8629  1 Re 1.79
O5 0.8100 0.6825 0.0765  1 Re 1.80
O6 0.1900 0.9235 0.3175  1 Re 1.80
O7 0.2483 0.3472 0.3472  1 Re 1.73
O8 0.7517 0.6528 0.6528  1 Re 1.73

=====

Entry 4:
Here is Nb2C2F after structural relaxation from the Alexandria database. Energies are from PBE.

Results
As for the symmetry: No. 139. Its crystal system is tetragonal. The value obtained for the distance to the lowest polymorph of the same formula is 0.000 eV per atom.

Unit cell a=4.1187 b=4.1187 c=4.4409 alpha=62.37 beta=62.37 gamma=90.00
With the nearest neighbours (Å) after each atom.
Positions (direct):
Nb1 0.7500 0.2500 0.5000  4 C 2.26
Nb2 0.2500 0.7500 0.5000  4 C 2.26
C1 0.3886 0.3886 0.2229  1 C 1.49
C2 0.6114 0.6114 0.7771  1 C 1.49
F1 0.0000 0.0000 0.0000  2 C 2.61, 8 Nb 2.66

=====

Entry 5:
Here is TaRuAu after structural relaxation from the Alexandria database. Energies are from PBE.

Results
As for the symmetry: No. 216. Its crystal system is cubic. The value obtained for the distance to the lowest polymorph of the same formula is 0.486 eV per atom. The formation enthalpy at 0 K comes out at 29.7 kJ per mole of atoms.

Unit cell a=4.3452 b=4.3452 c=4.3452 alpha=60.00 beta=60.00 gamma=60.00
With the nearest neighbours (Å) after each atom.
Positions (direct):
Au1 0.0000 0.0000 0.0000  4 Ta 2.66
Ru1 0.5000 0.5000 0.5000  4 Ta 2.66
Ta1 0.7500 0.7500 0.7500  4 Ru 2.66, 4 Au 2.66

=====

Entry 6:
Here is Ac2TbTe3 after structural relaxation from the Alexandria database. Energies are from PBE.

Results
As for the symmetry: No. 70. Its crystal system is orthorhombic. The value obtained for the distance to the lowest polymorph of the same formula is 0.000 eV per atom.

Unit cell a=8.0345 b=8.0343 c=14.3846 alpha=100.98 beta=100.98 gamma=108.56
With the nearest neighbours (Å) after each atom.
Positions (direct):
Ac1 0.9973 0.4973 0.9946  6 Te 3.27-3.35
Ac2 0.4204 0.4204 0.8409  6 Te 3.33-3.38
Ac3 0.8296 0.3296 0.6591  6 Te 3.33-3.38
Ac4 0.2527 0.2527 0.5054  6 Te 3.27-3.35
Ac5 0.7473 0.7473 0.4946  6 Te 3.27-3.35
Ac6 0.6704 0.1704 0.3409  6 Te 3.33-3.38
Ac7 0.5796 0.5796 0.1591  6 Te 3.33-3.38
Ac8 0.5027 0.0027 0.0054  6 Te 3.27-3.35
Tb1 0.9174 0.9174 0.8348  6 Te 3.10-3.15
Tb2 0.3326 0.8326 0.6652  6 Te 3.10-3.15
Tb3 0.1674 0.6674 0.3348  6 Te 3.10-3.15
Tb4 0.0826 0.0826 0.1652  6 Te 3.10-3.15
Te1 0.1641 0.6818 0.8257  2 Tb 3.14-3.15, 4 Ac 3.32-3.38
Te2 0.6616 0.1439 0.8257  2 Tb 3.14-3.15, 4 Ac 3.32-3.38
Te3 0.0859 0.0682 0.6743  2 Tb 3.14-3.15, 4 Ac 3.32-3.38
Te4 0.5884 0.6061 0.6743  2 Tb 3.14-3.15, 4 Ac 3.32-3.38
Te5 0.0218 0.5218 0.5000  2 Tb 3.10, 4 Ac 3.27-3.34
Te6 0.4782 0.9782 0.5000  2 Tb 3.10, 4 Ac 3.27-3.34
Te7 0.3939 0.4116 0.3257  2 Tb 3.14-3.15, 4 Ac 3.32-3.38
Te8 0.9318 0.9141 0.3257  2 Tb 3.14-3.15, 4 Ac 3.32-3.38
Te9 0.8561 0.3384 0.1743  2 Tb 3.14-3.15, 4 Ac 3.32-3.38
Te10 0.3182 0.8359 0.1743  2 Tb 3.14-3.15, 4 Ac 3.32-3.38
Te11 0.2282 0.2282 0.0000  2 Tb 3.10, 4 Ac 3.27-3.34
Te12 0.7718 0.7718 0.0000  2 Tb 3.10, 4 Ac 3.27-3.34

=====

It is found that the electronic total energy values, taken in the order of the records, are -6.77 -3.39 -8.18 -8.43 -7.83 -5.13 eV/atom.